# 1
# ThInOs (GGA-PBE, relaxed)
# ρ, g/cm3: 11.859
# Formation energy from the elements, kJ/mol of formula units: -5.3
data_ThInOs
_chemical_formula_sum 'Th12 In12 Os12'
_symmetry_space_group_name_H-M 'I m a 2'
_symmetry_Int_Tables_number 46
_cell_length_a 11.5921
_cell_length_b 11.3896
_cell_length_c 6.8351
_cell_angle_alpha 90.00
_cell_angle_beta 90.00
_cell_angle_gamma 90.00
loop_
_symmetry_equiv_pos_as_xyz
'x,y,z'
'-x,-y,z'
'-x+1/2,y,z'
'x+1/2,-y,z'
'x+1/2,y+1/2,z+1/2'
'-x+1/2,-y+1/2,z+1/2'
'-x,y+1/2,z+1/2'
'x,-y+1/2,z+1/2'
loop_
_atom_site_label
_atom_site_type_symbol
_atom_site_fract_x
_atom_site_fract_y
_atom_site_fract_z
Th1 Th 0.0062 0.1696 0.0000
Th2 Th 0.2500 0.0000 0.3802
In1 In 0.2500 0.2248 0.7156
In2 In 0.2500 0.5161 0.3883
In3 In 0.2500 0.7442 0.1688
Os1 Os 0.0000 0.0000 0.3084
Os2 Os 0.0662 0.5908 0.1399

# 2
# TmThInOs (GGA-PBE, relaxed)
# ρ, g/cm3: 12.074
# Formation energy from the elements, kJ/mol of formula units: -145.8
data_TmThInOs
_chemical_formula_sum 'Tm1 Th1 In1 Os1'
_symmetry_space_group_name_H-M 'P 4 m m'
_symmetry_Int_Tables_number 99
_cell_length_a 3.3918
_cell_length_b 3.3918
_cell_length_c 8.4406
_cell_angle_alpha 90.00
_cell_angle_beta 90.00
_cell_angle_gamma 90.00
loop_
_symmetry_equiv_pos_as_xyz
'x,y,z'
'-y,x,z'
'-x,-y,z'
'y,-x,z'
'-x,y,z'
'y,x,z'
'x,-y,z'
'-y,-x,z'
loop_
_atom_site_label
_atom_site_type_symbol
_atom_site_fract_x
_atom_site_fract_y
_atom_site_fract_z
Tm1 Tm 0.0000 0.0000 0.0000
Th1 Th 0.0000 0.0000 0.4136
In1 In 0.5000 0.5000 0.7207
Os1 Os 0.5000 0.5000 0.1979